The following is a GGA-PBE calculation of LaTl2GaTe4 after structural relaxation, from the Alexandria database.

Computed properties:
ρ   6.77 Mg/m³
Magnetization   0.0 μB/cell
N(E_F)   3.88 states/eV/f.u.
VASP energy   -3.76 eV/atom

a = 9.254 Å, b = 9.254 Å, c = 9.254 Å
α = 122.51°, β = 119.04°, γ = 88.70°
Fractional coordinates of all 16 atoms:
La  0.000  0.000  0.000
La  0.500  0.000  0.500
Tl  0.000  0.500  0.500
Tl  0.500  0.000  0.000
Tl  0.500  0.500  0.000
Tl  0.500  0.500  0.500
Ga  0.000  0.000  0.500
Ga  0.000  0.500  0.000
Te  0.207  0.246  0.961
Te  0.215  0.754  0.461
Te  0.234  0.223  0.490
Te  0.234  0.744  0.010
Te  0.766  0.256  0.990
Te  0.766  0.777  0.510
Te  0.785  0.246  0.539
Te  0.793  0.754  0.039

The following is a GGA-PBE calculation of LaTh2Ga6 after structural relaxation, from the Alexandria database.

Computed properties:
ρ   8.25 Mg/m³
Magnetization   0.0 μB/cell
ΔH_f (0 K)   -0.66 eV per atom
N(E_F)   1.83 states/eV/f.u.

a = 7.433 Å, b = 7.433 Å, c = 4.297 Å
α = 90.00°, β = 90.00°, γ = 120.00°
Fractional coordinates of all 9 atoms:
La  0.000  0.000  0.000
Th  0.333  0.667  0.000
Th  0.667  0.333  0.000
Ga  0.000  0.334  0.500
Ga  0.000  0.666  0.500
Ga  0.334  0.000  0.500
Ga  0.334  0.334  0.500
Ga  0.666  0.000  0.500
Ga  0.666  0.666  0.500